Entry from the Alexandria database: an optimized crystal structure of Pm2UVO8 (PBE with a Hubbard U).

The space group is P2/m (No. 10) and the conventional cell measures 4.188, 7.201 and 5.366 Å, with angles of 90.00, 98.19 and 90.00 degrees. The inequivalent atoms are Pm at (0.000, 0.241, 0.000), U at (0.500, 0.500, 0.500), V at (0.500, 0.000, 0.500), O at (0.072, 0.500, 0.268), O at (0.124, 0.000, 0.284) and O at (0.431, 0.254, 0.725).

The value obtained for the electronic total energy is -8.552 eV/atom.